{"formula": "Ge2TeRh2", "functional": "PBE", "state": "optimized geometry", "lattice": [[-2.179, 2.179, 4.816], [2.179, -2.179, 4.816], [2.179, 2.179, -4.816]], "species": ["Ge", "Ge", "Te", "Rh", "Rh"], "frac_coords": [[0.127, 0.127, 0.000], [0.873, 0.873, 0.000], [0.500, 0.500, 0.000], [0.250, 0.750, 0.500], [0.750, 0.250, 0.500]], "magnetic_moment_mub_per_cell": 0.0, "formation_energy_uncorrected_ev_per_atom": -0.22, "relative_energy_mev_per_atom": 0.0}

---

{"formula": "Ge2Te6Rh", "functional": "PBE", "state": "optimized geometry", "lattice": [[6.495, -5.947, 0.000], [6.495, 5.947, 0.000], [-1.320, 0.000, 6.856]], "species": ["Ge", "Ge", "Ge", "Ge", "Te", "Te", "Te", "Te", "Te", "Te", "Te", "Te", "Te", "Te", "Te", "Te", "Rh", "Rh"], "frac_coords": [[0.105, 0.272, 0.335], [0.272, 0.105, 0.835], [0.728, 0.895, 0.165], [0.895, 0.728, 0.665], [0.004, 0.217, 0.658], [0.134, 0.611, 0.887], [0.217, 0.004, 0.158], [0.315, 0.487, 0.375], [0.389, 0.866, 0.613], [0.487, 0.315, 0.875], [0.513, 0.685, 0.125], [0.611, 0.134, 0.387], [0.685, 0.513, 0.625], [0.783, 0.996, 0.842], [0.866, 0.389, 0.113], [0.996, 0.783, 0.342], [0.405, 0.595, 0.750], [0.595, 0.405, 0.250]], "magnetic_moment_mub_per_cell": 0.0, "formation_energy_uncorrected_ev_per_atom": -0.07}

---

{"formula": "Ge2TeRh", "functional": "PBE", "state": "optimized geometry", "lattice": [[-2.970, 2.970, 6.017], [2.970, -2.970, 6.017], [2.970, 2.970, -6.017]], "species": ["Ge", "Ge", "Ge", "Ge", "Te", "Te", "Rh", "Rh"], "frac_coords": [[0.056, 0.625, 0.931], [0.375, 0.306, 0.431], [0.694, 0.125, 0.069], [0.875, 0.944, 0.569], [0.250, 0.750, 0.500], [0.500, 0.500, 0.000], [0.000, 0.000, 0.000], [0.750, 0.250, 0.500]], "magnetic_moment_mub_per_cell": 0.0, "formation_energy_uncorrected_ev_per_atom": 0.01}

---

{"formula": "GeTe2Rh8", "functional": "PBE", "state": "optimized geometry", "lattice": [[-2.039, 3.626, 5.931], [2.039, -3.626, 5.931], [2.039, 3.626, -5.931]], "species": ["Ge", "Te", "Te", "Rh", "Rh", "Rh", "Rh", "Rh", "Rh", "Rh", "Rh"], "frac_coords": [[0.000, 0.000, 0.000], [0.320, 0.320, 0.000], [0.680, 0.680, 0.000], [0.096, 0.838, 0.258], [0.137, 0.637, 0.500], [0.297, 0.500, 0.797], [0.420, 0.162, 0.258], [0.580, 0.838, 0.742], [0.703, 0.500, 0.203], [0.863, 0.363, 0.500], [0.904, 0.162, 0.742]], "magnetic_moment_mub_per_cell": 0.0, "formation_energy_uncorrected_ev_per_atom": -0.14}

---

{"formula": "Ge2TeRh2", "functional": "PBE", "state": "optimized geometry", "lattice": [[-1.925, 1.925, 6.199], [1.925, -1.925, 6.199], [1.925, 1.925, -6.199]], "species": ["Ge", "Ge", "Te", "Rh", "Rh"], "frac_coords": [[0.250, 0.750, 0.500], [0.750, 0.250, 0.500], [0.000, 0.000, 0.000], [0.375, 0.375, 0.000], [0.625, 0.625, 0.000]], "magnetic_moment_mub_per_cell": 0.0, "formation_energy_uncorrected_ev_per_atom": -0.22, "relative_energy_mev_per_atom": 2.2}

---

{"formula": "GeTe3Rh", "functional": "PBE", "state": "optimized geometry", "lattice": [[5.310, 0.000, 0.000], [0.000, 5.310, 0.000], [0.000, 0.000, 5.310]], "species": ["Ge", "Te", "Te", "Te", "Rh"], "frac_coords": [[0.000, 0.000, 0.000], [0.000, 0.000, 0.500], [0.000, 0.500, 0.000], [0.500, 0.000, 0.000], [0.500, 0.500, 0.500]], "magnetic_moment_mub_per_cell": 1.8, "formation_energy_uncorrected_ev_per_atom": 1.00}

---

{"formula": "Th8Ge3Te4Rh", "functional": "PBE", "state": "optimized geometry", "lattice": [[4.351, 2.512, 7.311], [-4.351, 2.512, 7.311], [0.000, -5.025, 7.311]], "species": ["Th", "Th", "Th", "Th", "Th", "Th", "Th", "Th", "Ge", "Ge", "Ge", "Te", "Te", "Te", "Te", "Rh"], "frac_coords": [[0.240, 0.240, 0.240], [0.249, 0.732, 0.732], [0.268, 0.268, 0.751], [0.268, 0.751, 0.268], [0.732, 0.249, 0.732], [0.732, 0.732, 0.249], [0.751, 0.268, 0.268], [0.760, 0.760, 0.760], [0.000, 0.000, 0.500], [0.000, 0.500, 0.000], [0.500, 0.000, 0.000], [0.000, 0.000, 0.000], [0.000, 0.500, 0.500], [0.500, 0.000, 0.500], [0.500, 0.500, 0.000], [0.500, 0.500, 0.500]], "magnetic_moment_mub_per_cell": 0.0, "formation_energy_uncorrected_ev_per_atom": -1.00}

---

{"formula": "Th6GeTe3Rh2", "functional": "PBE", "state": "optimized geometry", "lattice": [[3.713, -6.418, 0.000], [3.713, 6.418, 0.000], [-2.478, 0.000, 7.432]], "species": ["Th", "Th", "Th", "Th", "Th", "Th", "Ge", "Te", "Te", "Te", "Rh", "Rh"], "frac_coords": [[0.082, 0.429, 0.789], [0.222, 0.222, 0.208], [0.429, 0.082, 0.789], [0.571, 0.918, 0.211], [0.778, 0.778, 0.792], [0.918, 0.571, 0.211], [0.500, 0.500, 0.000], [0.000, 0.000, 0.500], [0.341, 0.659, 0.500], [0.659, 0.341, 0.500], [0.168, 0.832, 0.000], [0.832, 0.168, 0.000]], "magnetic_moment_mub_per_cell": 0.0, "formation_energy_uncorrected_ev_per_atom": -0.99}

---

{"formula": "TiGe2TeRh", "functional": "PBE", "state": "optimized geometry", "lattice": [[5.218, 0.000, 0.000], [0.000, 5.218, 0.000], [0.000, 0.000, 4.949]], "species": ["Ti", "Ge", "Ge", "Te", "Rh"], "frac_coords": [[0.000, 0.000, 0.000], [0.000, 0.500, 0.500], [0.500, 0.000, 0.500], [0.000, 0.000, 0.500], [0.500, 0.500, 0.000]], "magnetic_moment_mub_per_cell": 0.0, "formation_energy_uncorrected_ev_per_atom": 1.39}

---

{"formula": "Y8Ge3Te4Rh", "functional": "PBE", "state": "optimized geometry", "lattice": [[4.226, 2.440, 7.126], [-4.226, 2.440, 7.126], [0.000, -4.880, 7.126]], "species": ["Y", "Y", "Y", "Y", "Y", "Y", "Y", "Y", "Ge", "Ge", "Ge", "Te", "Te", "Te", "Te", "Rh"], "frac_coords": [[0.241, 0.241, 0.241], [0.241, 0.737, 0.737], [0.263, 0.263, 0.759], [0.263, 0.759, 0.263], [0.737, 0.241, 0.737], [0.737, 0.737, 0.241], [0.759, 0.263, 0.263], [0.759, 0.759, 0.759], [0.000, 0.000, 0.500], [0.000, 0.500, 0.000], [0.500, 0.000, 0.000], [0.000, 0.000, 0.000], [0.000, 0.500, 0.500], [0.500, 0.000, 0.500], [0.500, 0.500, 0.000], [0.500, 0.500, 0.500]], "magnetic_moment_mub_per_cell": 0.0, "formation_energy_uncorrected_ev_per_atom": -1.15}

---

{"formula": "YGeTe2Rh", "functional": "PBE", "state": "optimized geometry", "lattice": [[5.737, 0.000, 0.000], [0.000, 5.737, 0.000], [0.000, 0.000, 5.417]], "species": ["Y", "Ge", "Te", "Te", "Rh"], "frac_coords": [[0.000, 0.000, 0.000], [0.000, 0.000, 0.500], [0.000, 0.500, 0.000], [0.500, 0.000, 0.000], [0.500, 0.500, 0.500]], "magnetic_moment_mub_per_cell": 1.3, "formation_energy_uncorrected_ev_per_atom": 0.75}

---

{"formula": "Zn2GeTeRh", "functional": "PBE", "state": "optimized geometry", "lattice": [[4.513, 0.000, 0.000], [0.000, 4.513, 0.000], [0.000, 0.000, 5.689]], "species": ["Zn", "Zn", "Ge", "Te", "Rh"], "frac_coords": [[0.000, 0.500, 0.000], [0.500, 0.000, 0.000], [0.000, 0.000, 0.000], [0.000, 0.000, 0.500], [0.500, 0.500, 0.500]], "magnetic_moment_mub_per_cell": 0.0, "formation_energy_uncorrected_ev_per_atom": 0.73}